No. 1
Here is PrTm2Mg9 after structural relaxation from Alexandria. Energies are from PBE.

Cell lengths 10.346, 10.346, 10.346 Å; angles 33.93, 33.93, 33.93 degrees
Fractional positions:
Pr: 0.000 0.000 0.000
Tm: 0.145 0.145 0.145
Tm: 0.855 0.855 0.855
Mg: 0.080 0.588 0.588
Mg: 0.334 0.334 0.334
Mg: 0.412 0.412 0.920
Mg: 0.412 0.920 0.412
Mg: 0.500 0.500 0.500
Mg: 0.588 0.080 0.588
Mg: 0.588 0.588 0.080
Mg: 0.666 0.666 0.666
Mg: 0.920 0.412 0.412

Raw total energy, eV per cell: -28.62

No. 2
Here is LiRhF3 after structural relaxation from Alexandria. Energies are from PBE.

Cell lengths 3.737, 3.737, 3.737 Å; angles 90.00, 90.00, 90.00 degrees
Fractional positions:
Li: 0.000 0.000 0.000
Rh: 0.500 0.500 0.500
F: 0.000 0.000 0.500
F: 0.000 0.500 0.000
F: 0.500 0.000 0.000

Polymorph energy (0 for the lowest one), meV/atom: 373
E_form (uncorrected), eV/atom: -1.414

No. 3
Here is Rb2CrSbSe4 after structural relaxation from Alexandria. Energies are from PBE.

Cell lengths 8.641, 8.641, 8.641 Å; angles 121.75, 118.36, 89.93 degrees
Fractional positions:
Rb: 0.000 0.000 0.000
Rb: 0.500 0.000 0.000
Rb: 0.500 0.000 0.500
Rb: 0.500 0.500 0.500
Cr: 0.000 0.000 0.500
Cr: 0.000 0.500 0.000
Sb: 0.000 0.500 0.500
Sb: 0.500 0.500 0.000
Se: 0.178 0.738 0.440
Se: 0.202 0.262 0.940
Se: 0.216 0.240 0.524
Se: 0.216 0.691 0.976
Se: 0.784 0.309 0.024
Se: 0.784 0.760 0.476
Se: 0.798 0.738 0.060
Se: 0.822 0.262 0.560

E_form (uncorrected), eV/atom: -0.633

No. 4
Here is Sm2SiAsPt6 after structural relaxation from Alexandria. Energies are from PBE.

Cell lengths 5.549, 8.437, 8.480 Å; angles 90.00, 90.00, 90.00 degrees
Fractional positions:
Sm: 0.250 0.002 0.233
Sm: 0.250 0.498 0.233
Sm: 0.750 0.502 0.767
Sm: 0.750 0.998 0.767
Si: 0.250 0.750 0.757
Si: 0.750 0.250 0.243
As: 0.250 0.250 0.775
As: 0.750 0.750 0.225
Pt: 0.002 0.250 0.486
Pt: 0.003 0.750 0.985
Pt: 0.250 0.004 0.619
Pt: 0.250 0.496 0.619
Pt: 0.497 0.750 0.985
Pt: 0.498 0.250 0.486
Pt: 0.502 0.750 0.514
Pt: 0.503 0.250 0.015
Pt: 0.750 0.504 0.381
Pt: 0.750 0.996 0.381
Pt: 0.997 0.250 0.015
Pt: 0.998 0.750 0.514

E_form (uncorrected), eV/atom: -0.925

No. 5
Here is TaMo after structural relaxation from Alexandria. Energies are from PBE.

Cell lengths 7.826, 7.826, 7.826 Å; angles 34.29, 34.29, 34.29 degrees
Fractional positions:
Ta: 0.065 0.065 0.065
Ta: 0.313 0.313 0.313
Ta: 0.687 0.687 0.687
Ta: 0.935 0.935 0.935
Mo: 0.189 0.189 0.189
Mo: 0.440 0.440 0.440
Mo: 0.560 0.560 0.560
Mo: 0.811 0.811 0.811

Raw total energy, eV per cell: -91.46

No. 6
Here is ScIrNF2 after structural relaxation from Alexandria. Energies are from PBE.

Cell lengths 4.519, 4.519, 3.686 Å; angles 90.00, 90.00, 90.00 degrees
Fractional positions:
Sc: 0.000 0.000 0.000
Ir: 0.500 0.500 0.500
N: 0.500 0.500 0.000
F: 0.000 0.500 0.500
F: 0.500 0.000 0.500

Polymorph energy (0 for the lowest one), meV/atom: 218
E_form (uncorrected), eV/atom: -0.587

No. 7
Here is LiPu2Mn after structural relaxation from Alexandria. Energies are from PBE.

Cell lengths 3.135, 3.135, 8.761 Å; angles 90.00, 90.00, 90.00 degrees
Fractional positions:
Li: 0.000 0.000 0.000
Pu: 0.500 0.500 0.295
Pu: 0.500 0.500 0.705
Mn: 0.000 0.000 0.500

Polymorph energy (0 for the lowest one), meV/atom: 0

No. 8
Here is NiSn2Rh2 after structural relaxation from Alexandria. Energies are from PBE.

Cell lengths 7.436, 7.436, 3.113 Å; angles 90.00, 90.00, 90.00 degrees
Fractional positions:
Ni: 0.000 0.000 0.000
Ni: 0.500 0.500 0.000
Sn: 0.163 0.337 0.500
Sn: 0.337 0.837 0.500
Sn: 0.663 0.163 0.500
Sn: 0.837 0.663 0.500
Rh: 0.138 0.638 0.000
Rh: 0.362 0.138 0.000
Rh: 0.638 0.862 0.000
Rh: 0.862 0.362 0.000

Raw total energy, eV per cell: -58.57

No. 9
Here is TcSbPt2 after structural relaxation from Alexandria. Energies are from PBE.

Cell lengths 3.920, 3.920, 4.301 Å; angles 90.00, 90.00, 90.00 degrees
Fractional positions:
Tc: 0.000 0.000 0.000
Sb: 0.500 0.500 0.000
Pt: 0.000 0.500 0.500
Pt: 0.500 0.000 0.500

E_form (uncorrected), eV/atom: -0.035

No. 10
Here is CsK2H6Rh after structural relaxation from Alexandria. Energies are from PBE.

Cell lengths 6.177, 6.177, 6.177 Å; angles 60.00, 60.00, 60.00 degrees
Fractional positions:
Cs: 0.000 0.000 0.000
K: 0.250 0.250 0.250
K: 0.750 0.750 0.750
H: 0.309 0.309 0.691
H: 0.309 0.691 0.309
H: 0.309 0.691 0.691
H: 0.691 0.309 0.309
H: 0.691 0.309 0.691
H: 0.691 0.691 0.309
Rh: 0.500 0.500 0.500

Raw total energy, eV per cell: -33.41

No. 11
Here is RbLaNi3 after structural relaxation from Alexandria. Energies are from PBE.

Cell lengths 4.865, 4.865, 4.865 Å; angles 90.00, 90.00, 90.00 degrees
Fractional positions:
Rb: 0.000 0.000 0.000
La: 0.500 0.500 0.500
Ni: 0.000 0.000 0.500
Ni: 0.000 0.500 0.000
Ni: 0.500 0.000 0.000

Polymorph energy (0 for the lowest one), meV/atom: 443

No. 12
Here is Ce8In2Si after structural relaxation from Alexandria. Energies are from PBE.

Cell lengths 8.569, 8.569, 7.246 Å; angles 107.03, 107.03, 33.15 degrees
Fractional positions:
Ce: 0.049 0.049 0.268
Ce: 0.119 0.119 0.668
Ce: 0.328 0.328 0.604
Ce: 0.422 0.422 0.034
Ce: 0.578 0.578 0.966
Ce: 0.672 0.672 0.396
Ce: 0.881 0.881 0.332
Ce: 0.951 0.951 0.732
In: 0.232 0.232 0.134
In: 0.768 0.768 0.866
Si: 0.500 0.500 0.500

E_form (uncorrected), eV/atom: -0.249

No. 13
Here is LaW2Cl after structural relaxation from Alexandria. Energies are from PBE.

Cell lengths 3.334, 3.334, 9.208 Å; angles 90.00, 90.00, 90.00 degrees
Fractional positions:
La: 0.000 0.000 0.000
W: 0.000 0.000 0.380
W: 0.500 0.500 0.259
Cl: 0.500 0.500 0.798

Polymorph energy (0 for the lowest one), meV/atom: 51
E_form (uncorrected), eV/atom: 0.013

No. 14
Here is TiAg3O after structural relaxation from Alexandria. Energies are from PBE.

Cell lengths 4.460, 4.460, 4.460 Å; angles 90.00, 90.00, 90.00 degrees
Fractional positions:
Ti: 0.000 0.000 0.000
Ag: 0.000 0.500 0.500
Ag: 0.500 0.000 0.500
Ag: 0.500 0.500 0.000
O: 0.500 0.500 0.500

Polymorph energy (0 for the lowest one), meV/atom: 0
E_form (uncorrected), eV/atom: 0.489

No. 15
Here is Ho8SbTe4As3 after structural relaxation from Alexandria. Energies are from PBE.

Cell lengths 8.579, 8.579, 8.579 Å; angles 59.08, 59.08, 59.08 degrees
Fractional positions:
Ho: 0.229 0.747 0.747
Ho: 0.239 0.239 0.239
Ho: 0.253 0.253 0.771
Ho: 0.253 0.771 0.253
Ho: 0.747 0.229 0.747
Ho: 0.747 0.747 0.229
Ho: 0.761 0.761 0.761
Ho: 0.771 0.253 0.253
Sb: 0.500 0.500 0.500
Te: 0.000 0.000 0.000
Te: 0.000 0.500 0.500
Te: 0.500 0.000 0.500
Te: 0.500 0.500 0.000
As: 0.000 0.000 0.500
As: 0.000 0.500 0.000
As: 0.500 0.000 0.000

E_form (uncorrected), eV/atom: -1.404

No. 16
Here is Zr4FeRu3 after structural relaxation from Alexandria. Energies are from PBE.

Cell lengths 3.258, 3.258, 13.008 Å; angles 90.00, 90.00, 90.00 degrees
Fractional positions:
Zr: 0.000 0.000 0.120
Zr: 0.000 0.000 0.373
Zr: 0.000 0.000 0.627
Zr: 0.000 0.000 0.880
Fe: 0.500 0.500 0.000
Ru: 0.500 0.500 0.248
Ru: 0.500 0.500 0.500
Ru: 0.500 0.500 0.752

Raw total energy, eV per cell: -74.71

No. 17
Here is KCaF2 after structural relaxation from Alexandria. Energies are from PBE.

Cell lengths 3.843, 3.843, 22.223 Å; angles 90.00, 90.00, 120.00 degrees
Fractional positions:
K: 0.000 0.000 0.000
K: 0.333 0.667 0.667
K: 0.667 0.333 0.333
Ca: 0.000 0.000 0.500
Ca: 0.333 0.667 0.167
Ca: 0.667 0.333 0.833
F: 0.000 0.000 0.127
F: 0.000 0.000 0.873
F: 0.333 0.667 0.540
F: 0.333 0.667 0.794
F: 0.667 0.333 0.206
F: 0.667 0.333 0.460

Polymorph energy (0 for the lowest one), meV/atom: 0
E_form (uncorrected), eV/atom: -2.761

No. 18
Here is BaLiInBr4 after structural relaxation from Alexandria. Energies are from PBE.

Cell lengths 7.335, 7.496, 9.298 Å; angles 90.00, 109.61, 90.00 degrees
Fractional positions:
Ba: 0.240 0.250 0.435
Ba: 0.760 0.750 0.565
Li: 0.255 0.750 0.193
Li: 0.745 0.250 0.807
In: 0.290 0.250 0.961
In: 0.710 0.750 0.039
Br: 0.060 0.750 0.374
Br: 0.063 0.750 0.913
Br: 0.493 0.001 0.277
Br: 0.493 0.499 0.277
Br: 0.507 0.501 0.723
Br: 0.507 0.999 0.723
Br: 0.937 0.250 0.087
Br: 0.940 0.250 0.626

E_form (uncorrected), eV/atom: -1.538

No. 19
Here is TaCr2Ag after structural relaxation from Alexandria. Energies are from PBE.

Cell lengths 6.284, 6.284, 6.284 Å; angles 90.00, 90.00, 90.00 degrees
Fractional positions:
Ta: 0.000 0.000 0.000
Ta: 0.000 0.500 0.500
Ta: 0.500 0.000 0.500
Ta: 0.500 0.500 0.000
Cr: 0.000 0.000 0.500
Cr: 0.000 0.500 0.000
Cr: 0.250 0.250 0.750
Cr: 0.250 0.750 0.250
Cr: 0.500 0.000 0.000
Cr: 0.500 0.500 0.500
Cr: 0.750 0.250 0.250
Cr: 0.750 0.750 0.750
Ag: 0.250 0.250 0.250
Ag: 0.250 0.750 0.750
Ag: 0.750 0.250 0.750
Ag: 0.750 0.750 0.250

Polymorph energy (0 for the lowest one), meV/atom: 269

No. 20
Here is La8Dy4Ho after structural relaxation from Alexandria. Energies are from PBE.

Cell lengths 10.914, 10.914, 10.914 Å; angles 38.71, 38.71, 38.71 degrees
Fractional positions:
La: 0.209 0.209 0.209
La: 0.209 0.753 0.753
La: 0.247 0.247 0.791
La: 0.247 0.791 0.247
La: 0.753 0.209 0.753
La: 0.753 0.753 0.209
La: 0.791 0.247 0.247
La: 0.791 0.791 0.791
Dy: 0.000 0.000 0.000
Dy: 0.000 0.500 0.500
Dy: 0.500 0.000 0.500
Dy: 0.500 0.500 0.000
Ho: 0.500 0.500 0.500

Raw total energy, eV per cell: -60.27

No. 21
Here is Pm2HoGa4Pd3 after structural relaxation from Alexandria. Energies are from PBE.

Cell lengths 4.212, 4.212, 11.809 Å; angles 90.00, 90.00, 90.00 degrees
Fractional positions:
Pm: 0.000 0.500 0.227
Pm: 0.500 0.000 0.773
Ho: 0.000 0.000 0.500
Ga: 0.000 0.000 0.000
Ga: 0.000 0.500 0.667
Ga: 0.500 0.000 0.333
Ga: 0.500 0.500 0.000
Pd: 0.000 0.500 0.876
Pd: 0.500 0.000 0.124
Pd: 0.500 0.500 0.500

Raw total energy, eV per cell: -49.02

No. 22
Here is Ta4Mo after structural relaxation from Alexandria. Energies are from PBE.

Cell lengths 3.680, 3.680, 14.454 Å; angles 90.00, 90.00, 90.00 degrees
Fractional positions:
Ta: 0.000 0.000 0.095
Ta: 0.000 0.000 0.905
Ta: 0.000 0.500 0.250
Ta: 0.000 0.500 0.750
Ta: 0.500 0.000 0.250
Ta: 0.500 0.000 0.750
Ta: 0.500 0.500 0.405
Ta: 0.500 0.500 0.595
Mo: 0.000 0.000 0.500
Mo: 0.500 0.500 0.000

Polymorph energy (0 for the lowest one), meV/atom: 1003

Fermi-level density of states values, unit states/eV/atom, following the record order: 0.8799, 0.1684, 0.0510, 0.3529, 0.9930, 0.6825, 2.3849, 1.4133, 0.7478, 0.0000, 0.9697, 2.4374, 0.7983, 1.8503, 0.3708, 0.3202, 0.2162, 0.0000, 1.1279, 1.2490, 0.7981, 1.2775.